DFT (GGA-PBE) results for an optimized crystal structure of MgCuBIr2.

## Properties
Mass density: 11.793 g/cm3
SG: No. 123
Raw total energy: -6.268 eV/atom
Total moment: 0.0000 μB/atom

Cell: 4.120 4.120 4.007 Å, 90.00 90.00 90.00°
Positions (direct):
1 Mg 0.000 0.000 0.000
2 Cu 0.500 0.500 0.000
3 B 0.500 0.500 0.500
4 Ir 0.000 0.500 0.500
5 Ir 0.500 0.000 0.500